A plane-wave DFT calculation with GGA-PBE was carried out for NaCdPt4 after structural relaxation.

a = 5.356 Å, b = 5.356 Å, c = 5.356 Å
α = 60.00°, β = 60.00°, γ = 60.00°
Fractional coordinates of all 6 atoms:
Na 0.000 0.000 0.000
Cd 0.750 0.750 0.750
Pt 0.375 0.375 0.375
Pt 0.375 0.375 0.875
Pt 0.375 0.875 0.375
Pt 0.875 0.375 0.375

Values from the calculation:
Space-group type: F-43m, No. 216
ΔH_f (0 K): -0.269 eV per atom
Calculated total energy: -4.67 eV/atom

***

A plane-wave DFT calculation with GGA-PBE was carried out for Na2Cd5Pt after structural relaxation.

a = 6.088 Å, b = 6.088 Å, c = 12.429 Å
α = 90.00°, β = 90.00°, γ = 90.00°
Fractional coordinates of all 16 atoms:
Na 0.000 0.500 0.000
Na 0.000 0.500 0.500
Na 0.500 0.000 0.000
Na 0.500 0.000 0.500
Cd 0.000 0.000 0.384
Cd 0.249 0.249 0.226
Cd 0.249 0.751 0.226
Cd 0.251 0.251 0.726
Cd 0.251 0.749 0.726
Cd 0.500 0.500 0.884
Cd 0.749 0.251 0.726
Cd 0.749 0.749 0.726
Cd 0.751 0.249 0.226
Cd 0.751 0.751 0.226
Pt 0.000 0.000 0.595
Pt 0.500 0.500 0.095

Values from the calculation:
Space-group type: I4mm, No. 107
ΔH_f (0 K): -0.106 eV per atom
Calculated total energy: -1.76 eV/atom

***

A plane-wave DFT calculation with GGA-PBE was carried out for Na2Cd3Pt after structural relaxation.

a = 5.963 Å, b = 5.963 Å, c = 8.893 Å
α = 90.00°, β = 90.00°, γ = 120.00°
Fractional coordinates of all 12 atoms:
Na 0.333 0.667 0.058
Na 0.333 0.667 0.442
Na 0.667 0.333 0.558
Na 0.667 0.333 0.942
Cd 0.168 0.336 0.750
Cd 0.168 0.832 0.750
Cd 0.336 0.168 0.250
Cd 0.664 0.832 0.750
Cd 0.832 0.168 0.250
Cd 0.832 0.664 0.250
Pt 0.000 0.000 0.000
Pt 0.000 0.000 0.500

Values from the calculation:
Space-group type: P6_3/mmc, No. 194
ΔH_f (0 K): -0.231 eV per atom
Calculated total energy: -2.14 eV/atom

***

A plane-wave DFT calculation with GGA-PBE was carried out for Na2Cd5Pt3 after structural relaxation.

a = 8.692 Å, b = 8.692 Å, c = 5.800 Å
α = 96.80°, β = 96.80°, γ = 97.76°
Fractional coordinates of all 20 atoms:
Na 0.095 0.681 0.952
Na 0.319 0.905 0.548
Na 0.681 0.095 0.452
Na 0.905 0.319 0.048
Cd 0.000 0.000 0.250
Cd 0.000 0.000 0.750
Cd 0.220 0.550 0.464
Cd 0.245 0.335 0.932
Cd 0.335 0.245 0.432
Cd 0.450 0.780 0.036
Cd 0.550 0.220 0.964
Cd 0.665 0.755 0.568
Cd 0.755 0.665 0.068
Cd 0.780 0.450 0.536
Pt 0.021 0.282 0.553
Pt 0.282 0.021 0.053
Pt 0.495 0.505 0.250
Pt 0.505 0.495 0.750
Pt 0.718 0.979 0.947
Pt 0.979 0.718 0.447

Values from the calculation:
Space-group type: C2/c, No. 15
ΔH_f (0 K): -0.254 eV per atom
Calculated total energy: -2.79 eV/atom

***

A plane-wave DFT calculation with GGA-PBE was carried out for Na6CdPt after structural relaxation.

a = 5.599 Å, b = 6.250 Å, c = 6.262 Å
α = 97.88°, β = 95.67°, γ = 93.65°
Fractional coordinates of all 8 atoms:
Na 0.223 0.354 0.430
Na 0.229 0.968 0.867
Na 0.254 0.826 0.337
Na 0.746 0.174 0.663
Na 0.771 0.032 0.133
Na 0.777 0.646 0.570
Cd 0.500 0.500 0.000
Pt 0.000 0.500 0.000

Values from the calculation:
Space-group type: P-1, No. 2
ΔH_f (0 K): -0.032 eV per atom
Calculated total energy: -1.89 eV/atom

***

A plane-wave DFT calculation with GGA-PBE was carried out for Na3Cd4Pt2 after structural relaxation.

a = 5.738 Å, b = 5.738 Å, c = 8.856 Å
α = 92.23°, β = 92.23°, γ = 46.77°
Fractional coordinates of all 9 atoms:
Na 0.000 0.000 0.000
Na 0.403 0.403 0.709
Na 0.597 0.597 0.291
Cd 0.097 0.097 0.648
Cd 0.298 0.298 0.108
Cd 0.702 0.702 0.892
Cd 0.903 0.903 0.352
Pt 0.267 0.267 0.411
Pt 0.733 0.733 0.589

Values from the calculation:
Space-group type: C2/m, No. 12
ΔH_f (0 K): -0.154 eV per atom
Calculated total energy: -2.34 eV/atom

***

- What is the calculated total energy in the fourth record?
  -2.79 eV/atom

***

- Which formula does entry 5 have?
  Na6CdPt